1.
A geometry-optimized Zn7GaCu4 structure, computed with PBE.

a = 6.2849 Å, b = 6.2849 Å, c = 9.0941 Å
α = 125.58°, β = 125.58°, γ = 41.73°
Fractional coordinates of all 12 atoms:
Zn1 0.0000 0.0000 0.0000
Zn2 0.1551 0.1551 0.5962
Zn3 0.2799 0.2799 0.1510
Zn4 0.4399 0.4399 0.6476
Zn5 0.5601 0.5601 0.3524
Zn6 0.7201 0.7201 0.8490
Zn7 0.8449 0.8449 0.4038
Ga1 0.5000 0.5000 0.0000
Cu1 0.0778 0.0778 0.7930
Cu2 0.1912 0.1912 0.3530
Cu3 0.8088 0.8088 0.6470
Cu4 0.9222 0.9222 0.2070

Values from the calculation:
- calculated total energy (eV per atom) = -2.249

2.
A geometry-optimized Zn3GaCu4 structure, computed with PBE.

a = 5.6705 Å, b = 6.8333 Å, c = 5.4758 Å
α = 90.00°, β = 90.00°, γ = 90.00°
Fractional coordinates of all 16 atoms:
Zn1 0.0000 0.0005 0.0000
Zn2 0.2504 0.2459 0.2502
Zn3 0.2496 0.7541 0.7502
Zn4 0.5000 0.9995 0.5000
Zn5 0.7496 0.2459 0.2502
Zn6 0.7504 0.7541 0.7502
Ga1 0.0000 0.4995 0.0000
Ga2 0.5000 0.5005 0.5000
Cu1 0.0000 0.0004 0.5001
Cu2 0.0000 0.4997 0.5001
Cu3 0.2493 0.7497 0.2500
Cu4 0.2507 0.2503 0.7500
Cu5 0.5000 0.9996 0.0001
Cu6 0.5000 0.5003 0.0001
Cu7 0.7493 0.2503 0.7500
Cu8 0.7507 0.7497 0.2500

Values from the calculation:
- calculated total energy (eV per atom) = -2.941

3.
A geometry-optimized Zn2Ga8Cu3 structure, computed with PBE.

a = 7.7219 Å, b = 4.0092 Å, c = 7.9515 Å
α = 90.00°, β = 116.90°, γ = 90.00°
Fractional coordinates of all 13 atoms:
Zn1 0.0244 0.0000 0.3094
Zn2 0.9756 0.0000 0.6906
Ga1 0.2140 0.0000 0.1031
Ga2 0.2190 0.5000 0.8513
Ga3 0.2950 0.5000 0.4105
Ga4 0.3025 0.0000 0.6473
Ga5 0.6975 0.0000 0.3527
Ga6 0.7050 0.5000 0.5895
Ga7 0.7810 0.5000 0.1487
Ga8 0.7860 0.0000 0.8969
Cu1 0.4654 0.5000 0.2050
Cu2 0.5000 0.0000 0.0000
Cu3 0.5346 0.5000 0.7950

Values from the calculation:
- calculated total energy (eV per atom) = -3.019

4.
A geometry-optimized Zn4GaCu15 structure, computed with PBE.

a = 3.6563 Å, b = 3.6563 Å, c = 18.6563 Å
α = 90.00°, β = 90.00°, γ = 90.00°
Fractional coordinates of all 20 atoms:
Zn1 0.0000 0.0000 0.0997
Zn2 0.0000 0.0000 0.2997
Zn3 0.0000 0.0000 0.7003
Zn4 0.0000 0.0000 0.9003
Ga1 0.0000 0.0000 0.5000
Cu1 0.0000 0.5000 0.0000
Cu2 0.0000 0.5000 0.1996
Cu3 0.0000 0.5000 0.3997
Cu4 0.0000 0.5000 0.6003
Cu5 0.0000 0.5000 0.8004
Cu6 0.5000 0.0000 0.0000
Cu7 0.5000 0.0000 0.1996
Cu8 0.5000 0.0000 0.3997
Cu9 0.5000 0.0000 0.6003
Cu10 0.5000 0.0000 0.8004
Cu11 0.5000 0.5000 0.0998
Cu12 0.5000 0.5000 0.2997
Cu13 0.5000 0.5000 0.5000
Cu14 0.5000 0.5000 0.7003
Cu15 0.5000 0.5000 0.9002

Values from the calculation:
- calculated total energy (eV per atom) = -3.558

5.
A geometry-optimized Zn6GaCu12 structure, computed with PBE.

a = 6.7882 Å, b = 6.7882 Å, c = 6.7882 Å
α = 107.10°, β = 107.10°, γ = 107.10°
Fractional coordinates of all 19 atoms:
Zn1 0.0306 0.2995 0.4088
Zn2 0.2995 0.4088 0.0306
Zn3 0.4088 0.0306 0.2995
Zn4 0.5912 0.9694 0.7005
Zn5 0.7005 0.5912 0.9694
Zn6 0.9694 0.7005 0.5912
Ga1 0.5000 0.5000 0.5000
Cu1 0.0193 0.9024 0.3182
Cu2 0.0976 0.6818 0.9807
Cu3 0.2294 0.6629 0.3625
Cu4 0.3182 0.0193 0.9024
Cu5 0.3371 0.6375 0.7706
Cu6 0.3625 0.2294 0.6629
Cu7 0.6375 0.7706 0.3371
Cu8 0.6629 0.3625 0.2294
Cu9 0.6818 0.9807 0.0976
Cu10 0.7706 0.3371 0.6375
Cu11 0.9024 0.3182 0.0193
Cu12 0.9807 0.0976 0.6818

Values from the calculation:
- calculated total energy (eV per atom) = -3.135

6.
A geometry-optimized ZnGa2Cu4 structure, computed with PBE.

a = 6.9382 Å, b = 6.9382 Å, c = 6.9382 Å
α = 142.50°, β = 142.50°, γ = 54.07°
Fractional coordinates of all 7 atoms:
Zn1 0.0000 0.0000 0.0000
Ga1 0.3831 0.3831 0.0000
Ga2 0.6169 0.6169 0.0000
Cu1 0.0000 0.5000 0.5000
Cu2 0.1924 0.1924 0.0000
Cu3 0.5000 0.0000 0.5000
Cu4 0.8076 0.8076 0.0000

Values from the calculation:
- calculated total energy (eV per atom) = -2.953

7.
A geometry-optimized ZnGaCu2 structure, computed with PBE.

a = 5.8034 Å, b = 5.8034 Å, c = 5.8034 Å
α = 153.74°, β = 134.93°, γ = 52.91°
Fractional coordinates of all 4 atoms:
Zn1 0.0000 0.0000 0.0000
Ga1 0.5000 0.5000 0.0000
Cu1 0.2508 0.2508 0.0000
Cu2 0.7492 0.7492 0.0000

Values from the calculation:
- calculated total energy (eV per atom) = -2.888

8.
A geometry-optimized Zn2GaCu2 structure, computed with PBE.

a = 7.4588 Å, b = 7.4588 Å, c = 2.6295 Å
α = 90.00°, β = 90.00°, γ = 90.00°
Fractional coordinates of all 10 atoms:
Zn1 0.1227 0.3773 0.0000
Zn2 0.3773 0.8773 0.0000
Zn3 0.6227 0.1227 0.0000
Zn4 0.8773 0.6227 0.0000
Ga1 0.0000 0.0000 0.0000
Ga2 0.5000 0.5000 0.0000
Cu1 0.1747 0.6747 0.5000
Cu2 0.3253 0.1747 0.5000
Cu3 0.6747 0.8253 0.5000
Cu4 0.8253 0.3253 0.5000

Values from the calculation:
- calculated total energy (eV per atom) = -2.745

Q: Among the records above, which one has the highest calculated total energy?
A: Zn7GaCu4